{
  "formula": "IrRh2",
  "functional": "PBE",
  "state": "relaxed",
  "lattice_angstrom": [[2.290, 1.322, 2.600], [-2.290, 1.322, 2.600], [0.000, -2.644, 2.600]],
  "species": ["Ir", "Rh", "Rh"],
  "fractional_positions": [[0.000, 0.000, 0.000], [0.320, 0.320, 0.320], [0.680, 0.680, 0.680]],
  "space_group": "R-3m",
  "total_magnetization_mub_per_cell": 0.0,
  "polymorph_energy_mev_per_atom": 514,
  "volume_a3_per_atom": 15.7,
  "e_form_kj_per_mol_atoms": 48.3
}